1.
First-principles (PBE) data for an optimized crystal structure of ZrBeTcO2, as listed in the Alexandria database.

Output
- VASP energy: -6.89 eV per atom
- Space-group type: P4/mmm, No. 123
- Uncorrected formation energy: -0.38 eV/atom
- D(E_F): 1.86 states/eV per cell
- Magnetic moment: 2.98 μB per formula unit

Cell and atoms, written as CIF:
```
data_ZrBeTcO2
_space_group_name_H-M_alt 'P 1'
_space_group_IT_number 1
_cell_length_a 3.982
_cell_length_b 3.982
_cell_length_c 5.420
_cell_angle_alpha 90.00
_cell_angle_beta 90.00
_cell_angle_gamma 90.00
loop_
_space_group_symop_operation_xyz
'x,y,z'
loop_
_atom_site_label
_atom_site_fract_x
_atom_site_fract_y
_atom_site_fract_z
Zr1 0.000 0.000 0.000
Be1 0.000 0.000 0.500
Tc1 0.500 0.500 0.500
O1 0.000 0.500 0.000
O2 0.500 0.000 0.000
```



2.
First-principles (PBE) data for an optimized crystal structure of Zr2BeTcO, as listed in the Alexandria database.

Output
- VASP energy: -6.91 eV per atom
- Space-group type: P4/mmm, No. 123
- Uncorrected formation energy: 0.32 eV/atom
- D(E_F): 4.25 states/eV per cell
- Magnetic moment: 0.00 μB per formula unit

Cell and atoms, written as CIF:
```
data_Zr2BeTcO
_space_group_name_H-M_alt 'P 1'
_space_group_IT_number 1
_cell_length_a 5.173
_cell_length_b 5.173
_cell_length_c 3.713
_cell_angle_alpha 90.00
_cell_angle_beta 90.00
_cell_angle_gamma 90.00
loop_
_space_group_symop_operation_xyz
'x,y,z'
loop_
_atom_site_label
_atom_site_fract_x
_atom_site_fract_y
_atom_site_fract_z
Zr1 0.000 0.500 0.000
Zr2 0.500 0.000 0.000
Be1 0.000 0.000 0.500
Tc1 0.500 0.500 0.000
O1 0.500 0.500 0.500
```



3.
First-principles (PBE) data for an optimized crystal structure of Be2TeO, as listed in the Alexandria database.

Output
- VASP energy: -3.42 eV per atom
- Relative energy among the computed polymorphs: 1.5427 eV per atom
- Space-group type: Fm-3m, No. 225
- Uncorrected formation energy: 0.47 eV/atom
- D(E_F): 1.83 states/eV per cell
- Magnetic moment: 0.15 μB per formula unit

Cell and atoms, written as CIF:
```
data_Be2TeO
_space_group_name_H-M_alt 'P 1'
_space_group_IT_number 1
_cell_length_a 4.211
_cell_length_b 4.211
_cell_length_c 4.211
_cell_angle_alpha 60.00
_cell_angle_beta 60.00
_cell_angle_gamma 60.00
loop_
_space_group_symop_operation_xyz
'x,y,z'
loop_
_atom_site_label
_atom_site_fract_x
_atom_site_fract_y
_atom_site_fract_z
Be1 0.250 0.250 0.250
Be2 0.750 0.750 0.750
Te1 0.000 0.000 0.000
O1 0.500 0.500 0.500
```